(1)
Here is a relaxed structure of Sm2NpO8 from Alexandria. Energies are from GGA-PBE.

Calculated values
Raw formation energy: -2.307 eV/atom
Energy: -7.948 eV per atom
Volume: 139.3 Å³/f.u.
Total moment: 2.95 μB per formula unit

Structure (CIF):
```
data_Sm2NpO8
_cell_length_a 3.7773
_cell_length_b 5.1733
_cell_length_c 7.6997
_cell_angle_alpha 106.61
_cell_angle_beta 102.86
_cell_angle_gamma 93.46
_space_group_name_H-M_alt 'P -1'
_space_group_IT_number 2
loop_
_space_group_symop_operation_xyz
'x,y,z'
'-x,-y,-z'
loop_
_atom_site_label
_atom_site_type_symbol
_atom_site_fract_x
_atom_site_fract_y
_atom_site_fract_z
_atom_site_occupancy
Sm1 Sm 0.1641 0.1435 0.3434 1
Np1 Np 0.5000 0.5000 0.0000 1
O1 O 0.0203 0.2610 0.9265 1
O2 O 0.2713 0.6258 0.4532 1
O3 O 0.3719 0.1592 0.6699 1
O4 O 0.3895 0.7128 0.8334 1
```


(2)
Here is a relaxed structure of PrDy2HoSc2 from Alexandria. Energies are from GGA-PBE.

Calculated values
Energy: -4.926 eV per atom
Volume: 184.2 Å³/f.u.
Total moment: 0.00 μB per formula unit
Formation energy from the elements: 0.28 eV/atom

Structure (CIF):
```
data_PrDy2HoSc2
_cell_length_a 6.2723
_cell_length_b 17.4995
_cell_length_c 3.3569
_cell_angle_alpha 90.00
_cell_angle_beta 90.00
_cell_angle_gamma 90.00
_space_group_name_H-M_alt 'P n n m'
_space_group_IT_number 58
loop_
_space_group_symop_operation_xyz
'x,y,z'
'-x,-y,-z'
'-x,-y,z'
'x,y,-z'
'x+1/2,-y+1/2,-z+1/2'
'-x+1/2,y+1/2,z+1/2'
'-x+1/2,y+1/2,-z+1/2'
'x+1/2,-y+1/2,z+1/2'
loop_
_atom_site_label
_atom_site_type_symbol
_atom_site_fract_x
_atom_site_fract_y
_atom_site_fract_z
_atom_site_occupancy
Pr1 Pr 0.0000 0.0000 0.0000 1
Dy1 Dy 0.2172 0.1931 0.0000 1
Ho1 Ho 0.0000 0.5000 0.0000 1
Sc1 Sc 0.2135 0.3545 0.5000 1
```


(3)
Here is a relaxed structure of CrSbCl2 from Alexandria. Energies are from GGA-PBE.

Calculated values
Raw formation energy: 0.269 eV/atom
Energy: -4.091 eV per atom
Volume: 85.2 Å³/f.u.
Total moment: 3.71 μB per formula unit

Structure (CIF):
```
data_CrSbCl2
_cell_length_a 6.9846
_cell_length_b 6.9846
_cell_length_c 6.9846
_cell_angle_alpha 90.00
_cell_angle_beta 90.00
_cell_angle_gamma 90.00
_space_group_name_H-M_alt 'F -4 3 m'
_space_group_IT_number 216
_space_group_name_Hall 'F -4 2 3'
loop_
_atom_site_label
_atom_site_type_symbol
_atom_site_fract_x
_atom_site_fract_y
_atom_site_fract_z
_atom_site_occupancy
Cr1 Cr 0.0000 0.0000 0.0000 1
Sb1 Sb 0.2500 0.2500 0.7500 1
Cl1 Cl 0.0000 0.0000 0.5000 1
Cl2 Cl 0.2500 0.2500 0.2500 1
```


(4)
Here is a relaxed structure of RbMg2Sn from Alexandria. Energies are from GGA-PBE.

Calculated values
Energy: -1.899 eV per atom
Volume: 177.9 Å³/f.u.
Total moment: 0.00 μB per formula unit
Formation energy from the elements: 0.14 eV/atom

Structure (CIF):
```
data_RbMg2Sn
_cell_length_a 6.0703
_cell_length_b 6.0703
_cell_length_c 19.3083
_cell_angle_alpha 90.00
_cell_angle_beta 90.00
_cell_angle_gamma 90.00
_space_group_name_H-M_alt 'I 41/a m d'
_space_group_IT_number 141
loop_
_space_group_symop_operation_xyz
'x,y,z'
'-x,-y,-z'
'-y+1/4,x+3/4,z+1/4'
'y+1/4,-x+3/4,-z+1/4'
'-x+1/2,-y,z+1/2'
'x+1/2,y,-z+1/2'
'y+1/4,-x+1/4,z+3/4'
'-y+1/4,x+1/4,-z+3/4'
'x,-y,-z'
'-x,y,z'
'-y+1/4,-x+1/4,-z+3/4'
'y+1/4,x+1/4,z+3/4'
'-x+1/2,y,-z+1/2'
'x+1/2,-y,z+1/2'
'y+1/4,x+3/4,-z+1/4'
'-y+1/4,-x+3/4,z+1/4'
'x+1/2,y+1/2,z+1/2'
'-x+1/2,-y+1/2,-z+1/2'
'-y+3/4,x+1/4,z+3/4'
'y+3/4,-x+1/4,-z+3/4'
'-x,-y+1/2,z'
'x,y+1/2,-z'
'y+3/4,-x+3/4,z+1/4'
'-y+3/4,x+3/4,-z+1/4'
'x+1/2,-y+1/2,-z+1/2'
'-x+1/2,y+1/2,z+1/2'
'-y+3/4,-x+3/4,-z+1/4'
'y+3/4,x+3/4,z+1/4'
'-x,y+1/2,-z'
'x,-y+1/2,z'
'y+3/4,x+1/4,-z+3/4'
'-y+3/4,-x+1/4,z+3/4'
loop_
_atom_site_label
_atom_site_type_symbol
_atom_site_fract_x
_atom_site_fract_y
_atom_site_fract_z
_atom_site_occupancy
Rb1 Rb 0.0000 0.2500 0.3750 1
Mg1 Mg 0.0000 0.0000 0.0000 1
Sn1 Sn 0.0000 0.2500 0.8750 1
```


(5)
Here is a relaxed structure of Mn2NbSiN from Alexandria. Energies are from GGA-PBE.

Calculated values
Raw formation energy: 1.840 eV/atom
Energy: -6.591 eV per atom
Volume: 78.6 Å³/f.u.
Total moment: 0.00 μB per formula unit

Structure (CIF):
```
data_Mn2NbSiN
_cell_length_a 4.0607
_cell_length_b 4.0607
_cell_length_c 4.7688
_cell_angle_alpha 90.00
_cell_angle_beta 90.00
_cell_angle_gamma 90.00
_space_group_name_H-M_alt 'P 4/m m m'
_space_group_IT_number 123
_space_group_name_Hall '-P 4 2'
loop_
_atom_site_label
_atom_site_type_symbol
_atom_site_fract_x
_atom_site_fract_y
_atom_site_fract_z
_atom_site_occupancy
Mn1 Mn 0.0000 0.5000 0.0000 1
Nb1 Nb 0.0000 0.0000 0.5000 1
Si1 Si 0.0000 0.0000 0.0000 1
N1 N 0.5000 0.5000 0.5000 1
```


(6)
Here is a relaxed structure of LiCa2AcS4 from Alexandria. Energies are from GGA-PBE.

Calculated values
Raw formation energy: -1.943 eV/atom
Energy: -5.260 eV per atom
Volume: 196.6 Å³/f.u.
Total moment: 0.00 μB per formula unit

Structure (CIF):
```
data_LiCa2AcS4
_cell_length_a 6.9649
_cell_length_b 4.1685
_cell_length_c 7.1490
_cell_angle_alpha 90.00
_cell_angle_beta 108.72
_cell_angle_gamma 90.00
_space_group_name_H-M_alt 'P 1 2/m 1'
_space_group_IT_number 10
loop_
_space_group_symop_operation_xyz
'x,y,z'
'-x,-y,-z'
'-x,y,-z'
'x,-y,z'
loop_
_atom_site_label
_atom_site_type_symbol
_atom_site_fract_x
_atom_site_fract_y
_atom_site_fract_z
_atom_site_occupancy
Li1 Li 0.0000 0.0000 0.0000 1
Ca1 Ca 0.0000 0.5000 0.5000 1
Ca2 Ca 0.5000 0.0000 0.5000 1
Ac1 Ac 0.5000 0.5000 0.0000 1
S1 S 0.2400 0.0000 0.7439 1
S2 S 0.2510 0.5000 0.2600 1
```


(7)
Here is a relaxed structure of Mg3TiNi from Alexandria. Energies are from GGA-PBE.

Calculated values
Energy: -2.231 eV per atom
Volume: 141.5 Å³/f.u.
Total moment: 3.82 μB per formula unit
Formation energy from the elements: 1.46 eV/atom

Structure (CIF):
```
data_Mg3TiNi
_cell_length_a 5.2112
_cell_length_b 5.2112
_cell_length_c 5.2112
_cell_angle_alpha 90.00
_cell_angle_beta 90.00
_cell_angle_gamma 90.00
_space_group_name_H-M_alt 'P m -3 m'
_space_group_IT_number 221
_space_group_name_Hall '-P 4 2 3'
loop_
_atom_site_label
_atom_site_type_symbol
_atom_site_fract_x
_atom_site_fract_y
_atom_site_fract_z
_atom_site_occupancy
Mg1 Mg 0.0000 0.0000 0.5000 1
Ti1 Ti 0.0000 0.0000 0.0000 1
Ni1 Ni 0.5000 0.5000 0.5000 1
```


(8)
Here is a relaxed structure of Fe2AgPt from Alexandria. Energies are from GGA-PBE.

Calculated values
Energy: -5.974 eV per atom
Volume: 65.2 Å³/f.u.
Total moment: 6.55 μB per formula unit
Formation energy from the elements: 0.48 eV/atom

Structure (CIF):
```
data_Fe2AgPt
_cell_length_a 7.0109
_cell_length_b 7.0109
_cell_length_c 5.3044
_cell_angle_alpha 90.00
_cell_angle_beta 90.00
_cell_angle_gamma 90.00
_space_group_name_H-M_alt 'I -4 2 d'
_space_group_IT_number 122
_space_group_name_Hall 'I -4 2bw'
loop_
_atom_site_label
_atom_site_type_symbol
_atom_site_fract_x
_atom_site_fract_y
_atom_site_fract_z
_atom_site_occupancy
Fe1 Fe 0.2295 0.2500 0.1250 1
Ag1 Ag 0.0000 0.0000 0.5000 1
Pt1 Pt 0.0000 0.0000 0.0000 1
```


(9)
Here is a relaxed structure of Li4PdPb from Alexandria. Energies are from GGA-PBE.

Calculated values
Energy: -3.115 eV per atom
Volume: 99.7 Å³/f.u.
Total moment: 0.00 μB per formula unit
Formation energy from the elements: -0.36 eV/atom

Structure (CIF):
```
data_Li4PdPb
_cell_length_a 5.5410
_cell_length_b 4.5551
_cell_length_c 8.3590
_cell_angle_alpha 90.00
_cell_angle_beta 109.11
_cell_angle_gamma 90.00
_space_group_name_H-M_alt 'P 1 21/m 1'
_space_group_IT_number 11
loop_
_space_group_symop_operation_xyz
'x,y,z'
'-x,-y,-z'
'-x,y+1/2,-z'
'x,-y+1/2,z'
loop_
_atom_site_label
_atom_site_type_symbol
_atom_site_fract_x
_atom_site_fract_y
_atom_site_fract_z
_atom_site_occupancy
Li1 Li 0.0365 0.2500 0.0853 1
Li2 Li 0.1991 0.2500 0.4198 1
Li3 Li 0.2787 0.7500 0.5806 1
Li4 Li 0.4538 0.7500 0.9151 1
Pd1 Pd 0.1216 0.2500 0.7423 1
Pb1 Pb 0.3726 0.7500 0.2464 1
```


(10)
Here is a relaxed structure of TaTcP2 from Alexandria. Energies are from GGA-PBE.

Calculated values
Energy: -8.281 eV per atom
Volume: 59.9 Å³/f.u.
Total moment: 0.00 μB per formula unit
Formation energy from the elements: -0.02 eV/atom

Structure (CIF):
```
data_TaTcP2
_cell_length_a 3.1472
_cell_length_b 4.9999
_cell_length_c 7.6151
_cell_angle_alpha 90.00
_cell_angle_beta 90.00
_cell_angle_gamma 90.00
_space_group_name_H-M_alt 'I m m m'
_space_group_IT_number 71
_space_group_name_Hall '-I 2 2'
loop_
_atom_site_label
_atom_site_type_symbol
_atom_site_fract_x
_atom_site_fract_y
_atom_site_fract_z
_atom_site_occupancy
Ta1 Ta 0.0000 0.0000 0.0000 1
Tc1 Tc 0.0000 0.0000 0.5000 1
P1 P 0.0000 0.5000 0.2383 1
```


(11)
Here is a relaxed structure of Y3Cd2Pd4 from Alexandria. Energies are from GGA-PBE.

Calculated values
Energy: -5.362 eV per atom
Volume: 196.7 Å³/f.u.
Total moment: 0.00 μB per formula unit
Formation energy from the elements: -0.70 eV/atom

Structure (CIF):
```
data_Y3Cd2Pd4
_cell_length_a 9.7473
_cell_length_b 4.4072
_cell_length_c 9.1586
_cell_angle_alpha 90.00
_cell_angle_beta 90.96
_cell_angle_gamma 90.00
_space_group_name_H-M_alt 'C 1 2/m 1'
_space_group_IT_number 12
loop_
_space_group_symop_operation_xyz
'x,y,z'
'-x,-y,-z'
'-x,y,-z'
'x,-y,z'
'x+1/2,y+1/2,z'
'-x+1/2,-y+1/2,-z'
'-x+1/2,y+1/2,-z'
'x+1/2,-y+1/2,z'
loop_
_atom_site_label
_atom_site_type_symbol
_atom_site_fract_x
_atom_site_fract_y
_atom_site_fract_z
_atom_site_occupancy
Y1 Y 0.0000 0.0000 0.0000 1
Y2 Y 0.1319 0.5000 0.3868 1
Cd1 Cd 0.1690 0.5000 0.7817 1
Pd1 Pd 0.0759 0.0000 0.6248 1
Pd2 Pd 0.2026 0.5000 0.0861 1
```


(12)
Here is a relaxed structure of ErScPt2 from Alexandria. Energies are from GGA-PBE.

Calculated values
Energy: -6.986 eV per atom
Volume: 78.1 Å³/f.u.
Total moment: 0.00 μB per formula unit
Formation energy from the elements: -1.24 eV/atom

Structure (CIF):
```
data_ErScPt2
_cell_length_a 5.8081
_cell_length_b 4.7104
_cell_length_c 6.1400
_cell_angle_alpha 90.00
_cell_angle_beta 111.60
_cell_angle_gamma 90.00
_space_group_name_H-M_alt 'P 1 21/m 1'
_space_group_IT_number 11
loop_
_space_group_symop_operation_xyz
'x,y,z'
'-x,-y,-z'
'-x,y+1/2,-z'
'x,-y+1/2,z'
loop_
_atom_site_label
_atom_site_type_symbol
_atom_site_fract_x
_atom_site_fract_y
_atom_site_fract_z
_atom_site_occupancy
Er1 Er 0.1518 0.2500 0.3821 1
Sc1 Sc 0.3698 0.7500 0.1177 1
Pt1 Pt 0.1214 0.2500 0.8805 1
Pt2 Pt 0.3704 0.7500 0.6797 1
```